(1)
Below is a relaxed structure of TbSc2Nb, with properties calculated at the GGA-PBE level.

Structure (POSCAR):
```
TbSc2Nb
1.0
1.608 0.928 10.671
-1.608 0.928 10.671
0.000 -1.857 10.671
Tb Sc Nb
1 2 1
Direct
0.000 0.000 0.000
0.241 0.241 0.241
0.759 0.759 0.759
0.500 0.500 0.500
```

Results
Its space group is R-3m (166).



(2)
Below is a relaxed structure of Zr2NbVPt, with properties calculated at the GGA-PBE level.

Structure (POSCAR):
```
Zr2NbVPt
1.0
5.060 0.000 0.000
0.000 5.060 0.000
0.000 0.000 4.458
Zr Nb V Pt
2 1 1 1
Direct
0.000 0.500 0.000
0.500 0.000 0.000
0.000 0.000 0.000
0.000 0.000 0.500
0.500 0.500 0.500
```

Results
Its space group is P4/mmm (123).



(3)
Below is a relaxed structure of Cd2Rh, with properties calculated at the GGA-PBE level.

Structure (POSCAR):
```
Cd2Rh
1.0
0.000 6.121 6.121
6.121 0.000 6.121
6.121 6.121 0.000
Cd Rh
16 8
Direct
0.000 0.000 0.000
0.000 0.000 0.500
0.000 0.500 0.000
0.183 0.183 0.567
0.183 0.567 0.183
0.183 0.567 0.567
0.433 0.433 0.817
0.433 0.817 0.433
0.433 0.817 0.817
0.500 0.000 0.000
0.567 0.183 0.183
0.567 0.183 0.567
0.567 0.567 0.183
0.817 0.433 0.433
0.817 0.433 0.817
0.817 0.817 0.433
0.143 0.786 0.786
0.214 0.214 0.214
0.214 0.214 0.857
0.214 0.857 0.214
0.786 0.143 0.786
0.786 0.786 0.143
0.786 0.786 0.786
0.857 0.214 0.214
```

Results
Its space group is Fd-3m (227).



| no. | electronic total energy (eV per atom) |
| --- | --- |
| 1 | -6.6597 |
| 2 | -7.4897 |
| 3 | -3.1630 |